Compound: CeSm4Er4
Source: Alexandria via LeMat-Bulk
Functional: PBE
Structure: relaxed

Calculated values
Symmetry ... No. 139
Magnetic moment ... 1.4 μB per cell
D(E_F) ... 1.717 states/eV/atom
E_form ... 0.043 eV per atom
Electronic total energy ... -42.68 eV/cell

```
CeSm4Er4
1.0
5.0467 0.0000 0.0000
2.5234 7.5514 0.0000
2.5234 0.0000 7.5514
Er Sm Ce
4 4 1
Cartesian
5.0467 5.0639 0.0001
2.5234 0.0001 2.4876
5.0467 2.4876 7.5513
7.5701 7.5513 5.0639
2.5234 5.0590 2.4919
7.5701 2.4924 5.0595
5.0467 2.4919 2.4924
5.0468 5.0595 5.0590
0.0000 0.0000 0.0000
```


Compound: Tb8Pm6Dy
Source: Alexandria via LeMat-Bulk
Functional: PBE
Structure: relaxed

Calculated values
Symmetry ... No. 148
Magnetic moment ... 0.0 μB per cell
D(E_F) ... 1.428 states/eV/atom
E_form ... 0.119 eV per atom
Electronic total energy ... -68.37 eV/cell
Energy above the most stable polymorph in this dataset ... 0.0 kJ per mole of atoms

```
Tb8Pm6Dy
1.0
-4.1601 -7.8198 2.2345
3.8564 -7.9993 -2.1418
3.2223 -5.3012 6.1202
Tb Pm Dy
8 6 1
Cartesian
-1.2036 -8.7558 3.9485
0.6925 -10.5536 1.7015
-0.8558 -12.0349 4.9830
4.1222 -12.3645 2.2644
3.7744 -9.0854 1.2299
1.8933 -7.2877 3.5044
1.0253 -13.8326 2.7085
2.2261 -10.5666 4.5114
-1.4317 -5.7139 1.7613
2.0489 -17.7916 5.6967
1.3908 -14.3330 6.0718
1.5277 -6.7872 0.1410
0.8696 -3.3287 0.5162
4.3503 -15.4064 4.4516
0.0000 0.0000 0.0000
```


Compound: LiEr2Si2Ir5
Source: Alexandria via LeMat-Bulk
Functional: PBE
Structure: relaxed

Calculated values
Symmetry ... No. 127
Magnetic moment ... 0.0 μB per cell
D(E_F) ... 0.349 states/eV/atom
Formation energy (no corrections) ... -0.77 eV/atom
Electronic total energy ... -147.74 eV/cell

```
LiEr2Si2Ir5
1.0
3.3662 0.0000 0.0000
0.0000 9.7652 0.0000
0.0000 0.0000 9.7652
Ir Si Er Li
10 4 4 2
Cartesian
1.6831 2.8534 5.5296
1.6831 5.5296 6.9118
1.6831 4.2356 2.8534
1.6831 6.9118 4.2356
1.6831 9.1182 2.0292
1.6831 4.8826 0.0000
1.6831 0.0000 4.8826
1.6831 0.6470 7.7360
1.6831 2.0292 0.6470
1.6831 7.7360 9.1182
0.0000 6.1311 8.5167
0.0000 8.5167 3.6341
0.0000 3.6341 1.2485
0.0000 1.2485 6.1311
0.0000 1.6936 3.1890
0.0000 3.1890 8.0716
0.0000 8.0716 6.5762
0.0000 6.5762 1.6936
0.0000 0.0000 0.0000
0.0000 4.8826 4.8826
```


Compound: Zn2CrRe
Source: Alexandria via LeMat-Bulk
Functional: PBE
Structure: relaxed

Calculated values
Symmetry ... No. 123
Magnetic moment ... 0.0 μB per cell
D(E_F) ... 0.944 states/eV/atom
E_form ... 0.343 eV per atom
Electronic total energy ... -23.25 eV/cell
Energy above the most stable polymorph in this dataset ... 22.4 kJ per mole of atoms

```
Zn2CrRe
1.0
-1.1580 1.1444 -1.9940
-0.4805 -2.3038 -1.0432
-7.2807 -0.3142 4.0479
Cr Zn Re
1 2 1
Cartesian
-2.6395 -0.6583 -0.5066
-0.0800 -0.0035 0.0445
-3.5603 -0.1537 1.9795
-6.2798 -0.8154 1.5174
```


Compound: BeCr2As
Source: Alexandria via LeMat-Bulk
Functional: PBE
Structure: relaxed

Calculated values
Symmetry ... No. 38
Magnetic moment ... 2.2 μB per cell
D(E_F) ... 0.717 states/eV/atom
E_form ... 0.070 eV per atom
Electronic total energy ... -27.34 eV/cell
Energy above the most stable polymorph in this dataset ... 6.3 kJ per mole of atoms

```
BeCr2As
1.0
-0.1221 1.8623 -3.0930
-2.0967 -1.9900 -1.1154
-4.1973 1.4349 1.0296
Be As Cr
1 1 2
Cartesian
-4.5338 1.0001 -1.3285
-3.4427 -0.7258 -0.3011
-5.8734 -0.6549 -0.1625
-2.0071 0.8550 -1.5156
```


Compound: Sr2BRuO
Source: Alexandria via LeMat-Bulk
Functional: PBE
Structure: relaxed

Calculated values
Symmetry ... No. 123
Magnetic moment ... 0.9 μB per cell
D(E_F) ... 0.765 states/eV/atom
Formation energy (no corrections) ... -0.10 eV/atom
Electronic total energy ... -24.77 eV/cell

```
Sr2BRuO
1.0
5.4316 0.0000 0.0000
0.0000 5.4316 0.0000
0.0000 0.0000 3.8561
Sr B Ru O
2 1 1 1
Cartesian
2.7158 0.0000 0.0000
0.0000 2.7158 0.0000
0.0000 0.0000 0.0000
0.0000 0.0000 1.9281
2.7158 2.7158 1.9281
```


Compound: AlGeOsBr2
Source: Alexandria via LeMat-Bulk
Functional: PBE
Structure: relaxed

Calculated values
Symmetry ... No. 123
Magnetic moment ... 0.0 μB per cell
D(E_F) ... 0.797 states/eV/atom
Formation energy (no corrections) ... 0.60 eV/atom
Electronic total energy ... -19.92 eV/cell

```
AlGeOsBr2
1.0
5.2762 0.0000 0.0000
0.0000 4.7249 0.0000
0.0000 0.0000 5.2762
Br Al Ge Os
2 1 1 1
Cartesian
2.6381 0.0000 0.0000
0.0000 0.0000 2.6381
2.6381 2.3624 2.6381
0.0000 2.3624 0.0000
0.0000 0.0000 0.0000
```


Compound: La3CrCo
Source: Alexandria via LeMat-Bulk
Functional: PBE
Structure: relaxed

Calculated values
Symmetry ... No. 221
Magnetic moment ... 0.3 μB per cell
D(E_F) ... 2.176 states/eV/atom
E_form ... 0.652 eV per atom
Electronic total energy ... -28.25 eV/cell
Energy above the most stable polymorph in this dataset ... 0.0 kJ per mole of atoms

```
La3CrCo
1.0
5.2502 0.0000 0.0000
0.0000 5.2502 0.0000
0.0000 0.0000 5.2502
La Cr Co
3 1 1
Cartesian
0.0000 0.0000 2.6251
2.6251 0.0000 0.0000
0.0000 2.6251 0.0000
2.6251 2.6251 2.6251
0.0000 0.0000 0.0000
```


- Which formula does entry 3 have?
  LiEr2Si2Ir5


- D(E_F) of number 4 (Zn2CrRe)?
  0.944 states/eV/atom